Here is a geometry-optimized FeSiMo2N structure from Alexandria. Energies are from PBE.

Computed properties:
* raw formation energy: 0.341 eV/atom
* symmetry: No. 123

The structure in CIF format:
```
data_FeSiMo2N
_chemical_formula_sum 'Fe1 Si1 Mo2 N1'
_space_group_name_H-M_alt 'P 1'
_space_group_IT_number 1
_cell_length_a 4.023
_cell_length_b 3.927
_cell_length_c 4.023
_cell_angle_alpha 90.00
_cell_angle_beta 90.00
_cell_angle_gamma 90.00
loop_
_space_group_symop_operation_xyz
'x,y,z'
loop_
_atom_site_label
_atom_site_type_symbol
_atom_site_fract_x
_atom_site_fract_y
_atom_site_fract_z
_atom_site_occupancy
Mo1 Mo 0.000 0.000 0.500 1
Mo2 Mo 0.500 0.000 0.000 1
Si1 Si 0.000 0.500 0.000 1
Fe1 Fe 0.500 0.500 0.500 1
N1 N 0.000 0.000 0.000 1
```

=====

Here is a geometry-optimized BaAcPmCd structure from Alexandria. Energies are from PBE.

Computed properties:
* E_form: 128 meV/atom
* symmetry: No. 216

The structure in CIF format:
```
data_BaAcPmCd
_chemical_formula_sum 'Ba1 Ac1 Pm1 Cd1'
_space_group_name_H-M_alt 'P 1'
_space_group_IT_number 1
_cell_length_a 5.999
_cell_length_b 5.999
_cell_length_c 5.999
_cell_angle_alpha 60.00
_cell_angle_beta 60.00
_cell_angle_gamma 60.00
loop_
_space_group_symop_operation_xyz
'x,y,z'
loop_
_atom_site_label
_atom_site_type_symbol
_atom_site_fract_x
_atom_site_fract_y
_atom_site_fract_z
_atom_site_occupancy
Ac1 Ac 0.250 0.250 0.250 1
Cd1 Cd 0.750 0.750 0.750 1
Ba1 Ba 0.000 0.000 0.000 1
Pm1 Pm 0.500 0.500 0.500 1
```